Here is Ag3BMo after structural relaxation from Alexandria. Energies are from PBE-GGA.

abc: 4.315 4.315 4.315
angles: 90.00 90.00 90.00
Space group Pm-3m (No. 221)
Symmetry-distinct sites (fractional):
Ag (0.000, 0.000, 0.500)
B (0.000, 0.000, 0.000)
Mo (0.500, 0.500, 0.500)

formation enthalpy at 0 K = 1037 meV/atom
N(E_F) = 3.84 states/eV/cell

Here is Dy2ErTl2 after structural relaxation from Alexandria. Energies are from PBE-GGA.

abc: 3.749 5.359 14.104
angles: 90.00 97.67 90.00
Space group P2_1/m (No. 11)
Symmetry-distinct sites (fractional):
Dy (0.049, 0.250, 0.098)
Dy (0.238, 0.250, 0.476)
Er (0.149, 0.750, 0.301)
Tl (0.356, 0.750, 0.711)
Tl (0.450, 0.250, 0.900)

formation enthalpy at 0 K = -272 meV/atom
N(E_F) = 9.51 states/eV/cell

Here is TlCdIn2Br5 after structural relaxation from Alexandria. Energies are from PBE-GGA.

abc: 4.250 18.845 17.218
angles: 90.00 90.00 90.00
Space group Cmc2_1 (No. 36)
Symmetry-distinct sites (fractional):
Tl (0.000, 0.058, 0.000)
Cd (0.000, 0.249, 0.595)
In (0.000, 0.352, 0.816)
In (0.000, 0.436, 0.211)
Br (0.000, 0.029, 0.328)
Br (0.000, 0.102, 0.579)
Br (0.000, 0.233, 0.989)
Br (0.000, 0.263, 0.209)
Br (0.000, 0.397, 0.630)

N(E_F) = 0.00 states/eV/cell
raw formation energy = -0.737 eV/atom

Here is Na2Ag2O3 after structural relaxation from Alexandria. Energies are from PBE-GGA.

abc: 7.079 7.079 7.079
angles: 90.00 90.00 90.00
Space group I2_13 (No. 199)
Symmetry-distinct sites (fractional):
Na (0.184, 0.184, 0.184)
Ag (0.063, 0.437, 0.563)
O (0.000, 0.250, 0.875)

N(E_F) = 13.72 states/eV/cell
raw formation energy = -0.519 eV/atom

Calculated ρ, 8.89; 10.65; 4.56; 5.80 Mg/m³ (same order as the records).